Arrangement w

{"formula": "TmInPd6", "functional": "PBE", "state": "optimized geometry", "lattice_angstrom": [[-2.159, -1.558, 3.071], [-0.209, -3.558, -1.953], [6.894, -2.398, 3.631]], "species": ["Pd", "Pd", "Pd", "Pd", "Pd", "Pd", "In", "Tm"], "fractional_positions": [[0.000, 0.500, 0.754], [0.000, 0.500, 0.246], [0.500, 0.000, 0.754], [0.500, 0.000, 0.246], [0.500, 0.500, 0.500], [0.500, 0.500, 0.000], [0.000, 0.000, 0.000], [0.000, 0.000, 0.500]], "total_magnetization_mub_per_cell": 0.0}


Arrangement x

{"formula": "TmInPd6", "functional": "PBE", "state": "optimized geometry", "lattice_angstrom": [[4.854, 0.806, -0.027], [1.168, 4.780, -0.027], [1.703, 1.580, 6.903]], "species": ["Pd", "Pd", "Pd", "Pd", "Pd", "Pd", "Tm", "In"], "fractional_positions": [[0.058, 0.540, 0.299], [0.640, 0.640, 0.066], [0.942, 0.460, 0.701], [0.540, 0.058, 0.299], [0.360, 0.360, 0.934], [0.460, 0.942, 0.701], [0.500, 0.500, 0.500], [0.000, 0.000, 0.000]], "total_magnetization_mub_per_cell": 0.0}


Which one is most stable, and which one is least stable? arrangement w is the most stable of them, while arrangement x is the least stable.


Arrangement w

{"formula": "TmIn2Pd8", "functional": "PBE", "state": "optimized geometry", "lattice_angstrom": [[4.164, 0.000, 0.000], [0.000, 6.492, 0.271], [-2.082, -2.483, 6.813]], "species": ["Pd", "Pd", "Pd", "Pd", "Pd", "Pd", "Pd", "Pd", "In", "In", "Tm"], "fractional_positions": [[0.406, 0.539, 0.812], [0.141, 0.193, 0.282], [0.679, 0.914, 0.359], [0.859, 0.807, 0.718], [0.040, 0.723, 0.079], [0.594, 0.461, 0.188], [0.321, 0.086, 0.641], [0.960, 0.277, 0.921], [0.220, 0.657, 0.441], [0.780, 0.343, 0.559], [0.500, 0.000, 0.000]], "total_magnetization_mub_per_cell": 0.0}


Arrangement x

{"formula": "TmIn2Pd8", "functional": "PBE", "state": "optimized geometry", "lattice_angstrom": [[-1.275, -2.852, 2.760], [-5.728, -1.708, -4.411], [7.014, -2.073, -2.051]], "species": ["Pd", "Pd", "Pd", "Pd", "Pd", "Pd", "Pd", "Pd", "Tm", "In", "In"], "fractional_positions": [[0.666, 0.429, 0.331], [0.334, 0.571, 0.669], [0.666, 0.903, 0.331], [0.844, 0.844, 0.688], [0.156, 0.156, 0.312], [0.000, 0.720, 0.000], [0.000, 0.280, 0.000], [0.334, 0.097, 0.669], [0.500, 0.000, 0.000], [0.176, 0.676, 0.351], [0.824, 0.324, 0.649]], "total_magnetization_mub_per_cell": 0.0}


Which one is most stable, and which one is least stable? arrangement w is the most stable of them, while arrangement x is the least stable.


Arrangement w

{"formula": "TmIn3Pd6", "functional": "PBE", "state": "optimized geometry", "lattice_angstrom": [[-3.785, 3.163, -2.684], [-5.905, -6.344, 0.850], [0.122, 5.718, 6.568]], "species": ["Pd", "Pd", "Pd", "Pd", "Pd", "Pd", "Pd", "Pd", "Pd", "Pd", "Pd", "Pd", "Tm", "Tm", "In", "In", "In", "In", "In", "In"], "fractional_positions": [[0.556, 0.660, 0.821], [0.056, 0.340, 0.179], [0.799, 0.999, 0.001], [0.525, 0.288, 0.712], [0.299, 0.507, 0.008], [0.299, 0.001, 0.999], [0.799, 0.008, 0.507], [0.056, 0.821, 0.660], [0.799, 0.493, 0.992], [0.025, 0.712, 0.288], [0.299, 0.992, 0.493], [0.556, 0.179, 0.340], [0.061, 0.194, 0.806], [0.561, 0.806, 0.194], [0.049, 0.094, 0.294], [0.292, 0.461, 0.539], [0.549, 0.294, 0.094], [0.549, 0.906, 0.706], [0.049, 0.706, 0.906], [0.792, 0.539, 0.461]], "total_magnetization_mub_per_cell": 0.0}


Arrangement x

{"formula": "TmIn3Pd6", "functional": "PBE", "state": "optimized geometry", "lattice_angstrom": [[-3.569, -1.633, 2.059], [-2.528, -3.606, -7.241], [5.365, -7.148, 3.628]], "species": ["In", "In", "In", "In", "In", "In", "Pd", "Pd", "Pd", "Pd", "Pd", "Pd", "Pd", "Pd", "Pd", "Pd", "Pd", "Pd", "Tm", "Tm"], "fractional_positions": [[0.750, 0.652, 0.190], [0.750, 0.453, 0.604], [0.250, 0.348, 0.810], [0.250, 0.759, 0.976], [0.250, 0.547, 0.396], [0.750, 0.241, 0.024], [0.250, 0.150, 0.217], [0.250, 0.840, 0.290], [0.750, 0.160, 0.710], [0.750, 0.550, 0.901], [0.250, 0.450, 0.099], [0.750, 0.370, 0.307], [0.750, 0.745, 0.483], [0.750, 0.936, 0.086], [0.250, 0.064, 0.914], [0.250, 0.630, 0.693], [0.250, 0.255, 0.517], [0.750, 0.850, 0.783], [0.250, 0.939, 0.622], [0.750, 0.061, 0.378]], "total_magnetization_mub_per_cell": 0.0}


Which one is most stable, and which one is least stable? arrangement x is the most stable of them, while arrangement w is the least stable.


Arrangement w

{"formula": "UIn2Pd8", "functional": "PBE", "state": "optimized geometry", "lattice_angstrom": [[-1.130, 3.321, 2.285], [-5.575, 0.334, -3.244], [-0.575, -5.995, 4.593]], "species": ["Pd", "Pd", "Pd", "Pd", "Pd", "Pd", "Pd", "Pd", "In", "In", "U"], "fractional_positions": [[0.861, 0.813, 0.721], [0.406, 0.553, 0.812], [0.139, 0.187, 0.279], [0.960, 0.270, 0.921], [0.040, 0.730, 0.079], [0.323, 0.083, 0.646], [0.677, 0.917, 0.354], [0.594, 0.447, 0.188], [0.783, 0.347, 0.565], [0.217, 0.653, 0.435], [0.500, 0.000, 0.000]], "total_magnetization_mub_per_cell": 1.2}


Arrangement x

{"formula": "UIn2Pd8", "functional": "PBE", "state": "optimized geometry", "lattice_angstrom": [[-1.717, 0.791, 4.641], [-4.346, 0.587, -2.396], [-0.324, -7.686, 0.465]], "species": ["Pd", "Pd", "Pd", "Pd", "Pd", "Pd", "Pd", "Pd", "In", "In", "U"], "fractional_positions": [[0.561, 0.550, 0.183], [0.975, 0.733, 0.908], [0.771, 0.636, 0.546], [0.025, 0.267, 0.092], [0.654, 0.093, 0.356], [0.229, 0.364, 0.454], [0.346, 0.907, 0.644], [0.439, 0.450, 0.817], [0.094, 0.806, 0.289], [0.906, 0.194, 0.711], [0.500, 0.000, 0.000]], "total_magnetization_mub_per_cell": 1.5}


Which one is most stable, and which one is least stable? arrangement w is the most stable of them, while arrangement x is the least stable.


Arrangement w

{"formula": "VIn3Pd", "functional": "PBE", "state": "optimized geometry", "lattice_angstrom": [[-0.755, 2.380, -4.457], [0.470, -4.453, -2.458], [-5.030, -0.774, 0.440]], "species": ["In", "In", "In", "V", "Pd"], "fractional_positions": [[0.000, 0.500, 0.000], [0.500, 0.000, 0.000], [0.000, 0.000, 0.500], [0.000, 0.000, 0.000], [0.500, 0.500, 0.500]], "total_magnetization_mub_per_cell": 0.5}


Arrangement x

{"formula": "VIn3Pd", "functional": "PBE", "state": "optimized geometry", "lattice_angstrom": [[-3.948, 3.106, -0.947], [-2.436, -1.848, 4.097], [2.147, 3.616, 2.907]], "species": ["In", "In", "In", "Pd", "V"], "fractional_positions": [[0.500, 0.000, 0.000], [0.000, 0.000, 0.500], [0.000, 0.500, 0.000], [0.000, 0.000, 0.000], [0.500, 0.500, 0.500]], "total_magnetization_mub_per_cell": 4.0}


Which one is most stable, and which one is least stable? arrangement x is the most stable of them, while arrangement w is the least stable.


Arrangement w

{"formula": "VIn2Pd", "functional": "PBE", "state": "optimized geometry", "lattice_angstrom": [[-1.196, -1.781, 2.849], [-0.182, -3.792, -2.446], [4.251, -0.966, 1.181]], "species": ["Pd", "V", "In", "In"], "fractional_positions": [[0.500, 0.500, 0.500], [0.500, 0.000, 0.000], [0.000, 0.500, 0.000], [0.000, 0.000, 0.500]], "total_magnetization_mub_per_cell": 2.0}


Arrangement x

{"formula": "VIn2Pd", "functional": "PBE", "state": "optimized geometry", "lattice_angstrom": [[0.000, 3.323, 3.323], [3.323, 0.000, 3.323], [3.323, 3.323, 0.000]], "species": ["V", "In", "In", "Pd"], "fractional_positions": [[0.000, 0.000, 0.000], [0.750, 0.750, 0.750], [0.250, 0.250, 0.250], [0.500, 0.500, 0.500]], "total_magnetization_mub_per_cell": 2.9}


Arrangement y

{"formula": "VIn2Pd", "functional": "PBE", "state": "optimized geometry", "lattice_angstrom": [[7.529, 0.000, 0.000], [0.000, 7.529, 0.000], [3.765, 3.765, 2.924]], "species": ["Pd", "Pd", "V", "V", "In", "In", "In", "In"], "fractional_positions": [[0.750, 0.250, 0.500], [0.000, 0.000, 0.000], [0.250, 0.750, 0.500], [0.500, 0.500, 0.000], [0.107, 0.625, 0.250], [0.375, 0.357, 0.750], [0.875, 0.893, 0.750], [0.643, 0.125, 0.250]], "total_magnetization_mub_per_cell": 5.5}


Which one is most stable, and which one is least stable? arrangement w is the most stable of them, while arrangement y is the least stable.


Arrangement w

{"formula": "VInPd6", "functional": "PBE", "state": "optimized geometry", "lattice_angstrom": [[3.960, 0.000, 0.000], [0.000, 3.960, 0.000], [0.000, 0.000, 7.943]], "species": ["Pd", "Pd", "Pd", "Pd", "Pd", "Pd", "V", "In"], "fractional_positions": [[0.500, 0.000, 0.735], [0.000, 0.500, 0.735], [0.000, 0.500, 0.265], [0.500, 0.500, 0.000], [0.500, 0.500, 0.500], [0.500, 0.000, 0.265], [0.000, 0.000, 0.500], [0.000, 0.000, 0.000]], "total_magnetization_mub_per_cell": 0.5}


Arrangement x

{"formula": "VInPd6", "functional": "PBE", "state": "optimized geometry", "lattice_angstrom": [[-5.275, 2.970, -3.391], [-1.866, -1.971, -6.886], [-4.109, -1.856, -2.331]], "species": ["In", "V", "Pd", "Pd", "Pd", "Pd", "Pd", "Pd"], "fractional_positions": [[0.000, 0.000, 0.000], [0.500, 0.500, 0.500], [0.252, 0.054, 0.227], [0.054, 0.533, 0.160], [0.946, 0.467, 0.840], [0.748, 0.946, 0.773], [0.533, 0.748, 0.664], [0.467, 0.252, 0.336]], "total_magnetization_mub_per_cell": 1.1}


Which one is most stable, and which one is least stable? arrangement w is the most stable of them, while arrangement x is the least stable.


Arrangement w

{"formula": "Y2InPd4", "functional": "PBE", "state": "optimized geometry", "lattice_angstrom": [[4.576, -0.145, 0.882], [1.935, 4.149, 0.882], [-0.903, -0.556, 7.477]], "species": ["In", "Pd", "Pd", "Pd", "Pd", "Y", "Y"], "fractional_positions": [[0.000, 0.000, 0.000], [0.916, 0.916, 0.357], [0.084, 0.084, 0.643], [0.351, 0.351, 0.892], [0.649, 0.649, 0.108], [0.705, 0.705, 0.709], [0.295, 0.295, 0.291]], "total_magnetization_mub_per_cell": 0.0}


Arrangement x

{"formula": "Y2InPd4", "functional": "PBE", "state": "optimized geometry", "lattice_angstrom": [[-1.421, -1.629, -4.421], [-1.220, -4.333, 1.989], [-5.281, 5.403, 2.445]], "species": ["Pd", "Pd", "Pd", "Pd", "In", "Y", "Y"], "fractional_positions": [[0.186, 0.186, 0.372], [0.500, 0.000, 0.000], [0.814, 0.814, 0.628], [0.000, 0.500, 0.000], [0.000, 0.000, 0.000], [0.370, 0.370, 0.740], [0.630, 0.630, 0.260]], "total_magnetization_mub_per_cell": 0.0}


Which one is most stable, and which one is least stable? arrangement w is the most stable of them, while arrangement x is the least stable.